First-principles (PBE-GGA) data for a geometry-optimized TmB2Pt7 structure, as listed in Alexandria.

Values from the calculation:
- space group = No. 65
- spin magnetization (μB per formula unit) = 0.00
- uncorrected energy (eV/atom) = -6.3610
- density (g/cm³) = 15.7

a b c (Å): 6.600 6.600 4.152
angles (deg): 90.00 90.00 114.30
Fractional coordinates of all 10 atoms:
Tm (0.000, 0.000, 0.000)
B (0.307, 0.693, 0.500)
B (0.693, 0.307, 0.500)
Pt (0.065, 0.328, 0.500)
Pt (0.262, 0.738, 0.000)
Pt (0.328, 0.065, 0.500)
Pt (0.500, 0.500, 0.500)
Pt (0.672, 0.935, 0.500)
Pt (0.738, 0.262, 0.000)
Pt (0.935, 0.672, 0.500)